Zr2InP | PBE | relaxed

Cell and atoms, written as CIF:
```
data_Zr2InP
_chemical_formula_sum 'Zr2 In1 P1'
_space_group_name_H-M_alt 'P 1'
_space_group_IT_number 1
_cell_length_a 8.575
_cell_length_b 8.575
_cell_length_c 8.575
_cell_angle_alpha 23.74
_cell_angle_beta 23.74
_cell_angle_gamma 23.74
loop_
_space_group_symop_operation_xyz
'x,y,z'
loop_
_atom_site_label
_atom_site_type_symbol
_atom_site_fract_x
_atom_site_fract_y
_atom_site_fract_z
Zr1 Zr 0.000 0.000 0.000
Zr2 Zr 0.239 0.239 0.239
In1 In 0.766 0.766 0.766
P1 P 0.505 0.505 0.505
```

Calculated values
The symmetry is R3m. The value obtained for the energy relative to the elements is -0.170 eV/atom. The offset from the most stable computed form comes out at 680.5 meV/atom. The total magnetization is 0.000 μB/cell.

NiHgSN2 | PBE | relaxed

Cell and atoms, written as CIF:
```
data_NiHgSN2
_chemical_formula_sum 'Ni1 Hg1 S1 N2'
_space_group_name_H-M_alt 'P 1'
_space_group_IT_number 1
_cell_length_a 3.578
_cell_length_b 3.578
_cell_length_c 7.566
_cell_angle_alpha 90.00
_cell_angle_beta 90.00
_cell_angle_gamma 90.00
loop_
_space_group_symop_operation_xyz
'x,y,z'
loop_
_atom_site_label
_atom_site_type_symbol
_atom_site_fract_x
_atom_site_fract_y
_atom_site_fract_z
Ni1 Ni 0.000 0.000 0.000
Hg1 Hg 0.500 0.500 0.500
S1 S 0.000 0.000 0.500
N1 N 0.000 0.500 0.000
N2 N 0.500 0.000 0.000
```

Calculated values
The symmetry is P4/mmm. The offset from the most stable computed form comes out at 0.0 meV/atom. The total magnetization is 0.394 μB/cell.